[1]
Material: TlTcNi2
Method: DFT, GGA-PBE
State: optimized geometry

Results
SG: I-4m2 (119)
Energy of formation from the pure elements, eV per atom: 0.482
Fermi-level density of states, states/eV per cell: 3.8

Unit cell a=4.794 b=4.794 c=4.794 alpha=132.26 beta=132.26 gamma=69.82
Fractional coordinates of all 4 atoms:
Tl  0.000  0.000  0.000
Tc  0.750  0.250  0.500
Ni  0.250  0.750  0.500
Ni  0.500  0.500  0.000

---

[2]
Material: Cd2Ag7Sb2Au
Method: DFT, GGA-PBE
State: optimized geometry

Results
SG: C2/m (12)
Fermi-level density of states, states/eV per cell: 2.5
Energy relative to the elements, uncorrected, kJ/mol of formula units: 84

Unit cell a=4.024 b=4.024 c=15.829 alpha=97.23 beta=97.23 gamma=90.00
Fractional coordinates of all 12 atoms:
Cd  0.139  0.139  0.275
Cd  0.861  0.861  0.725
Ag  0.000  0.000  0.000
Ag  0.070  0.571  0.139
Ag  0.229  0.229  0.457
Ag  0.429  0.930  0.861
Ag  0.571  0.070  0.139
Ag  0.771  0.771  0.543
Ag  0.930  0.429  0.861
Sb  0.316  0.316  0.637
Sb  0.684  0.684  0.363
Au  0.500  0.500  0.000

---

[3]
Material: CsRb2LiPt
Method: DFT, GGA-PBE
State: optimized geometry

Results
SG: P4/mmm (123)
Energy of formation from the pure elements, eV per atom: 0.084
Fermi-level density of states, states/eV per cell: 2.4

Unit cell a=6.736 b=6.736 c=5.298 alpha=90.00 beta=90.00 gamma=90.00
Fractional coordinates of all 5 atoms:
Cs  0.000  0.000  0.000
Rb  0.000  0.500  0.500
Rb  0.500  0.000  0.500
Li  0.500  0.500  0.000
Pt  0.500  0.500  0.500

---

[4]
Material: CaPr2Ga
Method: DFT, GGA-PBE
State: optimized geometry

Results
SG: P4/mmm (123)
Energy of formation from the pure elements, eV per atom: -0.224
Fermi-level density of states, states/eV per cell: 4.8

Unit cell a=3.714 b=3.714 c=9.502 alpha=90.00 beta=90.00 gamma=90.00
Fractional coordinates of all 4 atoms:
Ca  0.000  0.000  0.000
Pr  0.500  0.500  0.308
Pr  0.500  0.500  0.692
Ga  0.000  0.000  0.500